Record 1
Mn2Cu2Pd5 | PBE | relaxed

Cell and atoms, written as CIF:
```
data_Mn2Cu2Pd5
_chemical_formula_sum 'Mn4 Cu4 Pd10'
_space_group_name_H-M_alt 'P 1'
_space_group_IT_number 1
_space_group_name_Hall 'P 1'
_cell_length_a 6.6387
_cell_length_b 7.2259
_cell_length_c 7.2259
_cell_angle_alpha 125.53
_cell_angle_beta 90.00
_cell_angle_gamma 90.00
loop_
_atom_site_label
_atom_site_fract_x
_atom_site_fract_y
_atom_site_fract_z
Mn1 0.3577 0.1408 0.1408
Mn2 0.6423 0.8592 0.8592
Mn3 0.8577 0.3592 0.3592
Mn4 0.1423 0.6408 0.6408
Cu1 0.0000 0.8009 0.1991
Cu2 0.5000 0.3009 0.6991
Cu3 0.0000 0.1991 0.8009
Cu4 0.5000 0.6991 0.3009
Pd1 0.0000 0.0000 0.0000
Pd2 0.5000 0.5000 0.5000
Pd3 0.1599 0.2002 0.4802
Pd4 0.8401 0.5198 0.7998
Pd5 0.6599 0.0198 0.2998
Pd6 0.3401 0.7002 0.9802
Pd7 0.8401 0.7998 0.5198
Pd8 0.1599 0.4802 0.2002
Pd9 0.3401 0.9802 0.7002
Pd10 0.6599 0.2998 0.0198
```

Results
Relative energy among the computed polymorphs ... 0 meV per atom
Calculated formation energy ... 0.061 eV per atom
Total moment ... 9.387 μB per formula unit
Space group ... Cmce, No. 64

***

Record 2
Fe2AgMo | PBE | relaxed

Cell and atoms, written as CIF:
```
data_Fe2AgMo
_chemical_formula_sum 'Fe2 Ag1 Mo1'
_space_group_name_H-M_alt 'P 1'
_space_group_IT_number 1
_space_group_name_Hall 'P 1'
_cell_length_a 4.7512
_cell_length_b 4.7512
_cell_length_c 4.7512
_cell_angle_alpha 133.57
_cell_angle_beta 133.57
_cell_angle_gamma 67.77
loop_
_atom_site_label
_atom_site_fract_x
_atom_site_fract_y
_atom_site_fract_z
Ag1 0.7500 0.2500 0.5000
Fe1 0.0000 0.0000 0.0000
Fe2 0.2500 0.7500 0.5000
Mo1 0.5000 0.5000 0.0000
```

Results
Relative energy among the computed polymorphs ... 190 meV per atom
Calculated formation energy ... 0.470 eV per atom
Total moment ... 2.974 μB per formula unit
Space group ... I-4m2, No. 119

***

Record 3
Sm2MgB3Pt12 | PBE | relaxed

Cell and atoms, written as CIF:
```
data_Sm2MgB3Pt12
_chemical_formula_sum 'Sm2 Mg1 B3 Pt12'
_space_group_name_H-M_alt 'P 1'
_space_group_IT_number 1
_space_group_name_Hall 'P 1'
_cell_length_a 7.3065
_cell_length_b 7.3065
_cell_length_c 7.3065
_cell_angle_alpha 66.54
_cell_angle_beta 66.54
_cell_angle_gamma 66.54
loop_
_atom_site_label
_atom_site_fract_x
_atom_site_fract_y
_atom_site_fract_z
Sm1 0.6034 0.6034 0.6034
Sm2 0.3966 0.3966 0.3966
Mg1 0.0000 0.0000 0.0000
B1 0.5000 0.0000 0.0000
B2 0.0000 0.5000 0.0000
B3 0.0000 0.0000 0.5000
Pt1 0.3230 0.3230 0.9099
Pt2 0.8706 0.8706 0.3864
Pt3 0.3864 0.8706 0.8706
Pt4 0.9099 0.3230 0.3230
Pt5 0.8706 0.3864 0.8706
Pt6 0.3230 0.9099 0.3230
Pt7 0.6770 0.6770 0.0901
Pt8 0.1294 0.1294 0.6136
Pt9 0.6136 0.1294 0.1294
Pt10 0.0901 0.6770 0.6770
Pt11 0.1294 0.6136 0.1294
Pt12 0.6770 0.0901 0.6770
```

Results
Calculated formation energy ... -0.456 eV per atom
Total moment ... 0.000 μB per formula unit
Space group ... R-3m, No. 166